Material: Li4TiFe3Sn2P6O24
Method: DFT, PBE with a Hubbard U
State: relaxed

```
Li4TiFe3Sn2P6O24
1.0
8.499 0.000 0.000
-4.144 7.521 0.000
-0.250 -4.696 7.943
Li Ti Fe Sn P O
4 1 3 2 6 24
Cartesian
0.000 0.000 0.000
-3.419 4.960 3.927
-0.608 4.835 0.082
3.755 -2.688 7.833
-1.700 2.238 2.307
-1.782 2.508 6.956
2.275 0.206 6.731
2.410 4.681 2.803
2.453 0.166 3.289
6.477 -2.564 5.991
-0.560 0.172 4.810
1.246 2.516 0.824
-0.529 4.562 4.549
5.574 -0.416 0.779
4.259 2.449 4.748
5.085 4.712 0.816
-0.717 -1.378 4.640
-3.553 2.903 6.035
-2.175 3.755 1.058
-2.860 6.049 0.316
-1.020 0.851 3.495
-1.334 0.610 6.048
-0.194 1.858 1.061
-0.787 3.552 3.394
2.119 1.461 0.140
0.988 0.452 4.989
2.525 -1.842 4.429
0.802 -0.911 7.887
-0.542 3.917 5.939
0.019 6.761 0.265
1.843 2.839 2.202
5.038 -2.349 4.359
5.846 -1.160 2.065
3.616 1.035 4.920
2.259 2.122 7.621
3.886 -0.676 7.716
5.615 1.144 1.089
3.146 3.525 4.502
5.200 2.478 3.522
4.367 4.920 2.156
```

**Magnetization**: 12.00 μB per cell
**Total energy**: -6.947 eV per atom